[1]
# Be2AgAs

An optimized crystal structure of Be2AgAs (PBE, the Alexandria database).

a = 2.8688 Å, b = 2.8688 Å, c = 23.7190 Å
α = 90.00°, β = 90.00°, γ = 120.00°
Space group R3m (No. 160, hexagonal axes)
Asymmetric unit:
Be (0.0000, 0.0000, 0.0000) [3 per cell]
Be (0.0000, 0.0000, 0.2644) [3 per cell]
Ag (0.0000, 0.0000, 0.5161) [3 per cell]
As (0.0000, 0.0000, 0.7426) [3 per cell]

Results
D(E_F), states/eV/cell: 6.337
ΔH_f (0 K), eV/f.u.: 1.6

---

[2]
# YHoBr3

An optimized crystal structure of YHoBr3 (PBE, the Alexandria database).

a = 18.244 Å, b = 3.897 Å, c = 11.372 Å
α = 90.00°, β = 124.36°, γ = 90.00°
Space group C2/m (No. 12)
Asymmetric unit:
Y (0.135, 0.000, 0.284) [4 per cell]
Ho (0.072, 0.500, 0.959) [4 per cell]
Br (0.033, 0.000, 0.743) [4 per cell]
Br (0.167, 0.500, 0.505) [4 per cell]
Br (0.213, 0.000, 0.121) [4 per cell]

Results
Formation energy without anion corrections, meV/atom: -1500
ΔE to the lowest computed polymorph, eV per atom: 0.000

---

[3]
# La3PmCu

An optimized crystal structure of La3PmCu (PBE, the Alexandria database).

a = 12.500 Å, b = 3.820 Å, c = 14.500 Å
α = 90.00°, β = 114.47°, γ = 90.00°
Space group Cm (No. 8)
Asymmetric unit:
La (0.000, 0.000, 0.000) [2 per cell]
La (0.015, 0.000, 0.377) [2 per cell]
La (0.166, 0.500, 0.234) [2 per cell]
La (0.289, 0.500, 0.533) [2 per cell]
La (0.330, 0.000, 0.766) [2 per cell]
La (0.347, 0.000, 0.137) [2 per cell]
Pm (0.058, 0.500, 0.612) [2 per cell]
Pm (0.178, 0.500, 0.900) [2 per cell]
Cu (0.019, 0.000, 0.753) [2 per cell]
Cu (0.330, 0.000, 0.388) [2 per cell]

Results
D(E_F), states/eV/cell: 27.500
ΔH_f (0 K), eV/f.u.: -0.3

---

[4]
# YAgI2F

An optimized crystal structure of YAgI2F (PBE, the Alexandria database).

a = 5.890 Å, b = 5.890 Å, c = 4.039 Å
α = 90.00°, β = 90.00°, γ = 90.00°
Space group P4/mmm (No. 123)
Asymmetric unit:
Y (0.000, 0.000, 0.000) [1 per cell]
Ag (0.500, 0.500, 0.000) [1 per cell]
I (0.000, 0.500, 0.500) [2 per cell]
F (0.500, 0.500, 0.500) [1 per cell]

Results
Formation energy without anion corrections, meV/atom: -638
D(E_F), states/eV/cell: 2.385

---

[5]
# SrPtW

An optimized crystal structure of SrPtW (PBE, the Alexandria database).

a = 7.845 Å, b = 4.604 Å, c = 7.334 Å
α = 90.00°, β = 90.00°, γ = 90.00°
Space group Pnma (No. 62)
Asymmetric unit:
Sr (0.005, 0.250, 0.162) [4 per cell]
Pt (0.181, 0.750, 0.391) [4 per cell]
W (0.144, 0.250, 0.579) [4 per cell]

Results
D(E_F), states/eV/cell: 7.093
ΔE to the lowest computed polymorph, eV per atom: 0.188
ΔH_f (0 K), eV/f.u.: 0.5

---

[6]
# TaTiMnNi

An optimized crystal structure of TaTiMnNi (PBE, the Alexandria database).

a = 6.066 Å, b = 6.066 Å, c = 6.066 Å
α = 90.00°, β = 90.00°, γ = 90.00°
Space group F-43m (No. 216)
Asymmetric unit:
Ta (0.000, 0.000, 0.000) [4 per cell]
Ti (0.000, 0.000, 0.500) [4 per cell]
Mn (0.250, 0.250, 0.750) [4 per cell]
Ni (0.250, 0.250, 0.250) [4 per cell]

Results
D(E_F), states/eV/cell: 18.667
ΔH_f (0 K), eV/f.u.: -0.9

---

[7]
# Ba2BeIrF

An optimized crystal structure of Ba2BeIrF (PBE, the Alexandria database).

a = 5.437 Å, b = 5.437 Å, c = 4.102 Å
α = 90.00°, β = 90.00°, γ = 90.00°
Space group P4/mmm (No. 123)
Asymmetric unit:
Ba (0.000, 0.500, 0.000) [2 per cell]
Be (0.000, 0.000, 0.500) [1 per cell]
Ir (0.500, 0.500, 0.500) [1 per cell]
F (0.000, 0.000, 0.000) [1 per cell]

Results
Formation energy without anion corrections, meV/atom: -502
D(E_F), states/eV/cell: 1.879

---

[8]
# Ho3In4

An optimized crystal structure of Ho3In4 (PBE, the Alexandria database).

a = 5.1832 Å, b = 5.1832 Å, c = 25.7295 Å
α = 90.00°, β = 90.00°, γ = 120.00°
Space group R-3m (No. 166, hexagonal axes)
Asymmetric unit:
Ho (0.0000, 0.0000, 0.0000) [3 per cell]
Ho (0.0000, 0.0000, 0.2471) [6 per cell]
In (0.0000, 0.0000, 0.1275) [6 per cell]
In (0.0000, 0.0000, 0.3803) [6 per cell]

Results
D(E_F), states/eV/cell: 14.154
ΔH_f (0 K), eV/f.u.: -2.1

---

[9]
# LiTc

An optimized crystal structure of LiTc (PBE, the Alexandria database).

a = 2.7564 Å, b = 2.7564 Å, c = 28.2300 Å
α = 90.00°, β = 90.00°, γ = 120.00°
Space group R-3m (No. 166, hexagonal axes)
Asymmetric unit:
Li (0.0000, 0.0000, 0.1195) [6 per cell]
Tc (0.0000, 0.0000, 0.3695) [6 per cell]

Results
D(E_F), states/eV/cell: 3.063
ΔE to the lowest computed polymorph, eV per atom: 0.000
ΔH_f (0 K), eV/f.u.: 0.2

---

[10]
# Ac3Cl2F9

An optimized crystal structure of Ac3Cl2F9 (PBE, the Alexandria database).

a = 13.653 Å, b = 7.965 Å, c = 10.526 Å
α = 90.00°, β = 118.35°, γ = 90.00°
Space group C2/c (No. 15)
Asymmetric unit:
Ac (0.078, 0.233, 0.498) [8 per cell]
Ac (0.250, 0.250, 0.000) [4 per cell]
Cl (0.161, 0.417, 0.251) [8 per cell]
F (0.000, 0.146, 0.250) [4 per cell]
F (0.078, 0.418, 0.986) [8 per cell]
F (0.097, 0.085, 0.030) [8 per cell]
F (0.125, 0.203, 0.748) [8 per cell]
F (0.248, 0.086, 0.484) [8 per cell]

Results
Formation energy without anion corrections, meV/atom: -3350

---

[11]
# PrGdSiHg

An optimized crystal structure of PrGdSiHg (PBE, the Alexandria database).

a = 7.416 Å, b = 7.416 Å, c = 7.416 Å
α = 90.00°, β = 90.00°, γ = 90.00°
Space group F-43m (No. 216)
Asymmetric unit:
Pr (0.000, 0.000, 0.000) [4 per cell]
Gd (0.000, 0.000, 0.500) [4 per cell]
Si (0.250, 0.250, 0.750) [4 per cell]
Hg (0.250, 0.250, 0.250) [4 per cell]

Results
Formation energy without anion corrections, meV/atom: -466
D(E_F), states/eV/cell: 13.553

---

[12]
# Ti2Os2Ru

An optimized crystal structure of Ti2Os2Ru (PBE, the Alexandria database).

a = 7.215 Å, b = 7.215 Å, c = 2.940 Å
α = 90.00°, β = 90.00°, γ = 90.00°
Space group P4/mbm (No. 127)
Asymmetric unit:
Ti (0.148, 0.352, 0.000) [4 per cell]
Os (0.155, 0.655, 0.500) [4 per cell]
Ru (0.000, 0.000, 0.000) [2 per cell]

Results
D(E_F), states/eV/cell: 7.599
ΔE to the lowest computed polymorph, eV per atom: 0.038
ΔH_f (0 K), eV/f.u.: 0.0

---

[13]
# PuCdAuN

An optimized crystal structure of PuCdAuN (PBE, the Alexandria database).

a = 3.332 Å, b = 3.332 Å, c = 13.296 Å
α = 90.00°, β = 90.00°, γ = 90.00°
Space group I4mm (No. 107)
Asymmetric unit:
Pu (0.000, 0.000, 0.000) [2 per cell]
Cd (0.000, 0.000, 0.704) [2 per cell]
Au (0.000, 0.000, 0.324) [2 per cell]
N (0.000, 0.000, 0.527) [2 per cell]

Results
Formation energy without anion corrections, meV/atom: -478
D(E_F), states/eV/cell: 13.965

---

[14]
# CrFeNi

An optimized crystal structure of CrFeNi (PBE, the Alexandria database).

a = 2.974 Å, b = 2.974 Å, c = 7.830 Å
α = 90.00°, β = 90.00°, γ = 90.00°
Space group I4mm (No. 107)
Asymmetric unit:
Cr (0.000, 0.000, 0.000) [2 per cell]
Fe (0.000, 0.000, 0.343) [2 per cell]
Ni (0.000, 0.000, 0.671) [2 per cell]

Results
D(E_F), states/eV/cell: 7.880
ΔE to the lowest computed polymorph, eV per atom: 0.056
ΔH_f (0 K), eV/f.u.: 0.3

---

[15]
# PuUPa2S4

An optimized crystal structure of PuUPa2S4 (PBE, the Alexandria database).

a = 6.734 Å, b = 3.843 Å, c = 6.814 Å
α = 90.00°, β = 108.74°, γ = 90.00°
Space group P2/m (No. 10)
Asymmetric unit:
Pu (0.000, 0.000, 0.000) [1 per cell]
U (0.000, 0.500, 0.500) [1 per cell]
Pa (0.500, 0.000, 0.500) [1 per cell]
Pa (0.500, 0.500, 0.000) [1 per cell]
S (0.245, 0.500, 0.249) [2 per cell]
S (0.246, 0.000, 0.749) [2 per cell]

Results
Formation energy without anion corrections, meV/atom: -1590
D(E_F), states/eV/cell: 14.138

---

[16]
# NiSn2Au

An optimized crystal structure of NiSn2Au (PBE, the Alexandria database).

a = 4.592 Å, b = 3.982 Å, c = 9.095 Å
α = 90.00°, β = 90.03°, γ = 90.00°
Space group P2_1/m (No. 11)
Asymmetric unit:
Ni (0.250, 0.250, 0.166) [2 per cell]
Sn (0.250, 0.750, 0.975) [2 per cell]
Sn (0.251, 0.750, 0.361) [2 per cell]
Au (0.249, 0.750, 0.665) [2 per cell]

Results
D(E_F), states/eV/cell: 3.366
ΔE to the lowest computed polymorph, eV per atom: 0.062
ΔH_f (0 K), eV/f.u.: -0.7

---

[17]
# HoTm2Cd

An optimized crystal structure of HoTm2Cd (PBE, the Alexandria database).

a = 3.4136 Å, b = 3.4136 Å, c = 35.4498 Å
α = 90.00°, β = 90.00°, γ = 120.00°
Space group R-3m (No. 166, hexagonal axes)
Asymmetric unit:
Ho (0.0000, 0.0000, 0.0000) [3 per cell]
Tm (0.0000, 0.0000, 0.0953) [6 per cell]
Cd (0.0000, 0.0000, 0.5000) [3 per cell]

Results
D(E_F), states/eV/cell: 19.866
ΔE to the lowest computed polymorph, eV per atom: 0.315
ΔH_f (0 K), eV/f.u.: 0.7

---

[18]
# AcHoIr

An optimized crystal structure of AcHoIr (PBE, the Alexandria database).

a = 6.833 Å, b = 6.799 Å, c = 7.330 Å
α = 90.00°, β = 94.65°, γ = 90.00°
Space group C2/m (No. 12)
Asymmetric unit:
Ac (0.240, 0.000, 0.377) [4 per cell]
Ho (0.000, 0.257, 0.000) [4 per cell]
Ir (0.215, 0.000, 0.781) [4 per cell]

Results
D(E_F), states/eV/cell: 13.012
ΔE to the lowest computed polymorph, eV per atom: 0.000
ΔH_f (0 K), eV/f.u.: -1.8

---

[19]
# CaPuZnBi

An optimized crystal structure of CaPuZnBi (PBE, the Alexandria database).

a = 7.622 Å, b = 7.622 Å, c = 7.622 Å
α = 90.00°, β = 90.00°, γ = 90.00°
Space group F-43m (No. 216)
Asymmetric unit:
Ca (0.000, 0.000, 0.000) [4 per cell]
Pu (0.000, 0.000, 0.500) [4 per cell]
Zn (0.250, 0.250, 0.750) [4 per cell]
Bi (0.250, 0.250, 0.250) [4 per cell]

Results
D(E_F), states/eV/cell: 49.457
ΔH_f (0 K), eV/f.u.: -1.2

---

[20]
# BaZn2I6

An optimized crystal structure of BaZn2I6 (PBE, the Alexandria database).

a = 6.655 Å, b = 8.043 Å, c = 8.378 Å
α = 91.02°, β = 91.53°, γ = 113.22°
Space group P-1 (No. 2)
Asymmetric unit:
Ba (0.000, 0.000, 0.000) [1 per cell]
Zn (0.350, 0.538, 0.830) [2 per cell]
I (0.116, 0.259, 0.654) [2 per cell]
I (0.239, 0.463, 0.141) [2 per cell]
I (0.424, 0.872, 0.775) [2 per cell]

Results
Formation energy without anion corrections, meV/atom: -953
D(E_F), states/eV/cell: 0.000